Ti2FeIr2, relaxed, DFT GGA-PBE; E_tot = -8.661 eV/atom; formation energy = -0.266 eV per atom
1.0
7.220 0.000 0.000
0.000 7.220 0.000
0.000 0.000 2.936
Ti Fe Ir
4 2 4
Direct
0.163 0.337 0.000
0.337 0.837 0.000
0.663 0.163 0.000
0.837 0.663 0.000
0.000 0.000 0.500
0.500 0.500 0.500
0.138 0.638 0.500
0.362 0.138 0.500
0.638 0.862 0.500
0.862 0.362 0.500

---

Li2MgRe, relaxed, DFT GGA-PBE; E_tot = -3.971 eV/atom; energy relative to the lowest polymorph listed for this composition = 0.298 eV per atom; formation energy = 0.497 eV per atom
1.0
4.718 0.000 0.000
0.000 4.718 0.000
0.000 0.000 2.645
Li Mg Re
2 1 1
Direct
0.000 0.500 0.000
0.500 0.000 0.000
0.000 0.000 0.500
0.500 0.500 0.500

---

GaTcHF2, relaxed, DFT GGA-PBE; E_tot = -4.689 eV/atom
1.0
4.309 0.000 0.000
0.000 4.309 0.000
0.000 0.000 3.612
Ga Tc H F
1 1 1 2
Direct
0.000 0.000 0.000
0.500 0.500 0.500
0.500 0.500 0.000
0.000 0.500 0.500
0.500 0.000 0.500

---

ReAgPC2, relaxed, DFT GGA-PBE; E_tot = -6.156 eV/atom; formation energy = 1.676 eV per atom
1.0
3.907 0.000 0.000
0.000 3.907 0.000
0.000 0.000 5.577
Re Ag P C
1 1 1 2
Direct
0.000 0.000 0.000
0.000 0.000 0.500
0.500 0.500 0.500
0.000 0.500 0.000
0.500 0.000 0.000

---

TaInSi, relaxed, DFT GGA-PBE; uncorrected formation energy = -0.06 eV per atom; E_tot = -6.729 eV/atom
1.0
21.749 0.000 0.000
0.000 3.472 0.000
-0.447 0.000 3.323
Ta In Si
4 4 4
Direct
0.000 0.000 0.000
0.079 0.500 0.575
0.500 0.500 0.000
0.579 0.000 0.575
0.255 0.000 0.283
0.358 0.500 0.859
0.755 0.500 0.283
0.858 0.000 0.859
0.127 0.000 0.116
0.453 0.000 0.457
0.627 0.500 0.116
0.953 0.500 0.457

---

CeThI, relaxed, DFT GGA-PBE; uncorrected formation energy = -0.18 eV per atom; E_tot = -5.151 eV/atom
1.0
0.000 6.713 4.961
5.666 0.000 4.961
5.666 6.713 0.000
Ce Th I
4 4 4
Direct
0.081 0.919 0.323
0.573 0.927 0.331
0.919 0.081 0.677
0.927 0.573 0.169
0.292 0.390 0.365
0.296 0.885 0.860
0.390 0.292 0.954
0.885 0.296 0.958
0.196 0.649 0.680
0.570 0.776 0.054
0.649 0.196 0.474
0.776 0.570 0.601

---

Nd6Y3Ho2, relaxed, DFT GGA-PBE; E_tot = -5.184 eV/atom; energy relative to the lowest polymorph listed for this composition = 0.000 eV per atom; formation energy = 0.012 eV per atom
1.0
1.814 1.047 32.350
-1.814 1.047 32.350
0.000 -2.094 32.350
Nd Y Ho
6 3 2
Direct
0.091 0.091 0.091
0.182 0.182 0.182
0.364 0.364 0.364
0.636 0.636 0.636
0.818 0.818 0.818
0.909 0.909 0.909
0.000 0.000 0.000
0.273 0.273 0.273
0.727 0.727 0.727
0.454 0.454 0.454
0.546 0.546 0.546

---

SrAc6La4, relaxed, DFT GGA-PBE; E_tot = -4.039 eV/atom; formation energy = 0.146 eV per atom
1.0
11.810 0.000 0.000
-5.905 10.227 0.000
0.000 0.000 3.923
Sr Ac La
1 6 4
Direct
0.000 0.000 0.000
0.188 0.376 0.500
0.188 0.812 0.500
0.535 0.070 0.000
0.535 0.465 0.000
0.624 0.812 0.500
0.930 0.465 0.000
0.323 0.162 0.500
0.333 0.667 0.000
0.838 0.162 0.500
0.838 0.677 0.500

---

D(E_F), record by record: 22.5; 2.6; 4.1; 3.2; 4.8; 31.8; 13.2; 18.0 states/eV/cell
Total magnetization, record by record: 0.000; 0.000; 0.320; 0.150; 0.000; 0.398; 0.000; 0.000 μB per atom